Record 1
VASP calculation (PBE) on V5Mo4W4 after structural relaxation.

abc: 9.327 9.327 4.548
angles: 90.00 90.00 90.00
Space group I4/m (No. 87)
Asymmetric unit:
V 0.000 0.000 0.000 (multiplicity 2)
V 0.073 0.175 0.500 (multiplicity 8)
Mo 0.134 0.768 0.000 (multiplicity 8)
W 0.102 0.606 0.500 (multiplicity 8)



Record 2
VASP calculation (PBE) on VMoW2 after structural relaxation.

abc: 6.262 6.262 6.262
angles: 90.00 90.00 90.00
Space group Fm-3m (No. 225)
Asymmetric unit:
V 0.000 0.000 0.000 (multiplicity 4)
Mo 0.000 0.000 0.500 (multiplicity 4)
W 0.250 0.250 0.250 (multiplicity 8)

Properties
- offset from the most stable computed form (eV/atom) = 0.0175



Record 3
VASP calculation (PBE) on V2Mo3W7 after structural relaxation.

abc: 4.386 21.261 4.454
angles: 90.00 90.00 90.00
Space group Cmmm (No. 65)
Asymmetric unit:
V 0.000 0.147 0.000 (multiplicity 4)
Mo 0.000 0.349 0.500 (multiplicity 4)
Mo 0.000 0.500 0.500 (multiplicity 2)
W 0.000 0.000 0.000 (multiplicity 2)
W 0.000 0.076 0.500 (multiplicity 4)
W 0.000 0.285 0.000 (multiplicity 4)
W 0.000 0.425 0.000 (multiplicity 4)



Record 4
VASP calculation (PBE) on VMo8W6 after structural relaxation.

abc: 10.0568 10.0568 2.9207
angles: 90.00 90.00 120.00
Space group P-3 (No. 147)
Asymmetric unit:
V 0.0000 0.0000 0.0000 (multiplicity 1)
Mo 0.0804 0.8011 0.3422 (multiplicity 6)
Mo 0.3333 0.6667 0.6467 (multiplicity 2)
W 0.1006 0.4683 0.1464 (multiplicity 6)



Record 5
VASP calculation (PBE) on VMo3W3 after structural relaxation.

abc: 6.9918 6.9918 16.7650
angles: 90.00 90.00 120.00
Space group R-3 (No. 148, hexagonal axes)
Asymmetric unit:
V 0.0000 0.0000 0.1513 (multiplicity 6)
Mo 0.0461 0.2656 0.5633 (multiplicity 18)
W 0.0484 0.2610 0.7199 (multiplicity 18)



Record 6
VASP calculation (PBE) on V4MoW7 after structural relaxation.

abc: 2.694 6.869 10.319
angles: 99.53 95.63 97.91
Space group P1 (No. 1)
Asymmetric unit:
V 0.000 0.000 0.000 (multiplicity 1)
V 0.020 0.333 0.662 (multiplicity 1)
V 0.044 0.671 0.335 (multiplicity 1)
V 0.590 0.667 0.831 (multiplicity 1)
Mo 0.550 0.999 0.499 (multiplicity 1)
W 0.247 0.673 0.083 (multiplicity 1)
W 0.282 0.335 0.911 (multiplicity 1)
W 0.296 0.337 0.418 (multiplicity 1)
W 0.346 0.997 0.751 (multiplicity 1)
W 0.556 0.338 0.169 (multiplicity 1)
W 0.783 0.999 0.249 (multiplicity 1)
W 0.804 0.664 0.584 (multiplicity 1)



Record 7
VASP calculation (PBE) on V3MoW6 after structural relaxation.

abc: 2.738 9.244 12.713
angles: 105.62 94.15 95.57
Space group P-1 (No. 2)
Asymmetric unit:
V 0.102 0.123 0.176 (multiplicity 2)
V 0.300 0.123 0.775 (multiplicity 2)
V 0.300 0.377 0.524 (multiplicity 2)
Mo 0.498 0.629 0.874 (multiplicity 2)
W 0.097 0.625 0.673 (multiplicity 2)
W 0.099 0.873 0.424 (multiplicity 2)
W 0.100 0.373 0.923 (multiplicity 2)
W 0.302 0.878 0.027 (multiplicity 2)
W 0.305 0.627 0.277 (multiplicity 2)
W 0.499 0.124 0.373 (multiplicity 2)

Properties
- offset from the most stable computed form (eV/atom) = 0.0000



Record 8
VASP calculation (PBE) on V3Mo2W8 after structural relaxation.

abc: 11.525 7.558 5.043
angles: 90.00 97.23 90.00
Space group C2/m (No. 12)
Asymmetric unit:
V 0.000 0.000 0.000 (multiplicity 2)
V 0.000 0.176 0.500 (multiplicity 4)
Mo 0.192 0.000 0.747 (multiplicity 4)
W 0.099 0.500 0.415 (multiplicity 4)
W 0.114 0.312 0.957 (multiplicity 8)
W 0.196 0.000 0.255 (multiplicity 4)



Number 1: total DFT energy (no corrections) -10.724 eV per atom, formation energy 0.10 eV/atom, N(E_F) 19.8 states/eV/cell. Number 2: total DFT energy (no corrections) -11.544 eV per atom, formation energy -0.08 eV/atom, N(E_F) 11.6 states/eV/cell. Number 3: total DFT energy (no corrections) -11.368 eV per atom, formation energy 0.42 eV/atom, N(E_F) 16.0 states/eV/cell. Number 4: total DFT energy (no corrections) -10.975 eV per atom, formation energy 0.59 eV/atom, N(E_F) 13.4 states/eV/cell. Number 5: total DFT energy (no corrections) -10.906 eV per atom, formation energy 0.59 eV/atom, N(E_F) 42.9 states/eV/cell. Number 6: total DFT energy (no corrections) -11.458 eV per atom, formation energy 0.04 eV/atom, N(E_F) 9.5 states/eV/cell. Number 7: total DFT energy (no corrections) -11.674 eV per atom, formation energy -0.08 eV/atom, N(E_F) 9.6 states/eV/cell. Number 8: total DFT energy (no corrections) -11.162 eV per atom, formation energy 0.58 eV/atom, N(E_F) 24.4 states/eV/cell.